The following is a DFT calculation (GGA-PBE) of a relaxed structure of TaSiTe2N.

POSCAR file:
```
TaSiTe2N
1.0
5.4753 0.0000 0.0000
0.0000 5.4753 0.0000
0.0000 0.0000 3.2926
N Te Ta Si
1 2 1 1
direct
0.0000 0.0000 0.5000
0.0000 0.5000 0.0000
0.5000 0.0000 0.0000
0.5000 0.5000 0.5000
0.0000 0.0000 0.0000
```

formation energy without anion corrections = 0.590 eV/atom
magnetization = 1.58 μB per formula unit